A plane-wave DFT calculation with PBE-GGA was carried out for a geometry-optimized Tb4NdDy2Sc structure.

a = 6.1045 Å, b = 3.5482 Å, c = 11.7186 Å
α = 90.00°, β = 100.11°, γ = 90.00°
Element x y z (fractional)
Tb 0.2458 0.0000 0.2428
Tb 0.2510 0.5000 0.7547
Tb 0.7490 0.5000 0.2453
Tb 0.7542 0.0000 0.7572
Nd 0.0000 0.0000 0.5000
Dy 0.5000 0.0000 0.0000
Dy 0.5000 0.5000 0.5000
Sc 0.0000 0.5000 0.0000

Values from the calculation:
spin magnetization	0.00	μB per cell
N(E_F)	11.65	states/eV/f.u.
SG	No. 10
energy of formation from the pure elements	34	meV/atom

=====

A plane-wave DFT calculation with PBE-GGA was carried out for a geometry-optimized Tb2NdDy6Sc3 structure.

a = 6.0603 Å, b = 6.0603 Å, c = 11.4941 Å
α = 95.02°, β = 95.02°, γ = 119.96°
Element x y z (fractional)
Tb 0.1665 0.8335 0.0000
Tb 0.8335 0.1665 0.0000
Nd 0.5000 0.5000 0.0000
Dy 0.0791 0.4127 0.7395
Dy 0.2536 0.2536 0.2607
Dy 0.4127 0.0791 0.7395
Dy 0.5873 0.9209 0.2605
Dy 0.7464 0.7464 0.7393
Dy 0.9209 0.5873 0.2605
Sc 0.0000 0.0000 0.5000
Sc 0.3331 0.6669 0.5000
Sc 0.6669 0.3331 0.5000

Values from the calculation:
spin magnetization	0.00	μB per cell
N(E_F)	17.34	states/eV/f.u.
SG	No. 12
energy of formation from the pure elements	45	meV/atom

=====

A plane-wave DFT calculation with PBE-GGA was carried out for a geometry-optimized Tb2NdDySc4 structure.

a = 5.9552 Å, b = 3.4444 Å, c = 11.1745 Å
α = 90.00°, β = 100.27°, γ = 90.00°
Element x y z (fractional)
Tb 0.0000 0.0000 0.0000
Tb 0.0000 0.5000 0.5000
Nd 0.5000 0.0000 0.5000
Dy 0.5000 0.5000 0.0000
Sc 0.2493 0.5000 0.2484
Sc 0.2497 0.0000 0.7514
Sc 0.7503 0.0000 0.2486
Sc 0.7507 0.5000 0.7516

Values from the calculation:
spin magnetization	0.00	μB per cell
N(E_F)	11.03	states/eV/f.u.
SG	No. 10
energy of formation from the pure elements	61	meV/atom

=====

A plane-wave DFT calculation with PBE-GGA was carried out for a geometry-optimized TbNd4Dy2Sc structure.

a = 5.0933 Å, b = 5.1090 Å, c = 9.9514 Å
α = 90.00°, β = 90.00°, γ = 90.00°
Element x y z (fractional)
Tb 0.0000 0.0000 0.0000
Nd 0.0000 0.5000 0.2554
Nd 0.0000 0.5000 0.7446
Nd 0.5000 0.0000 0.2552
Nd 0.5000 0.0000 0.7448
Dy 0.0000 0.0000 0.5000
Dy 0.5000 0.5000 0.0000
Sc 0.5000 0.5000 0.5000

Values from the calculation:
spin magnetization	0.00	μB per cell
N(E_F)	10.61	states/eV/f.u.
SG	No. 47
energy of formation from the pure elements	28	meV/atom

=====

A plane-wave DFT calculation with PBE-GGA was carried out for a geometry-optimized TbNdDy2Sc structure.

a = 6.9825 Å, b = 6.9825 Å, c = 7.0942 Å
α = 90.00°, β = 90.00°, γ = 107.93°
Element x y z (fractional)
Tb 0.2349 0.7651 0.7500
Tb 0.7651 0.2349 0.2500
Nd 0.2302 0.7698 0.2500
Nd 0.7698 0.2302 0.7500
Dy 0.1972 0.1972 0.0000
Dy 0.1972 0.1972 0.5000
Dy 0.8028 0.8028 0.0000
Dy 0.8028 0.8028 0.5000
Sc 0.4949 0.5051 0.2500
Sc 0.5051 0.4949 0.7500

Values from the calculation:
spin magnetization	0.00	μB per cell
N(E_F)	6.18	states/eV/f.u.
SG	No. 63
energy of formation from the pure elements	330	meV/atom

=====

A plane-wave DFT calculation with PBE-GGA was carried out for a geometry-optimized Tb3NdDySc structure.

a = 6.4062 Å, b = 6.4062 Å, c = 11.4376 Å
α = 90.00°, β = 90.00°, γ = 127.22°
Element x y z (fractional)
Tb 0.1397 0.8603 0.7500
Tb 0.3260 0.6740 0.5308
Tb 0.3260 0.6740 0.9692
Tb 0.6740 0.3260 0.0308
Tb 0.6740 0.3260 0.4692
Tb 0.8603 0.1397 0.2500
Nd 0.4709 0.5291 0.2500
Nd 0.5291 0.4709 0.7500
Dy 0.0000 0.0000 0.0000
Dy 0.0000 0.0000 0.5000
Sc 0.1698 0.8302 0.2500
Sc 0.8302 0.1698 0.7500

Values from the calculation:
spin magnetization	0.00	μB per cell
N(E_F)	11.16	states/eV/f.u.
SG	No. 63
energy of formation from the pure elements	148	meV/atom

=====

A plane-wave DFT calculation with PBE-GGA was carried out for a geometry-optimized TbNd2Dy5Sc structure.

a = 10.3709 Å, b = 10.3709 Å, c = 10.4044 Å
α = 90.00°, β = 90.00°, γ = 148.87°
Element x y z (fractional)
Tb 0.0914 0.9086 0.5000
Tb 0.9086 0.0914 0.0000
Nd 0.3849 0.6151 0.7760
Nd 0.3868 0.6132 0.3551
Nd 0.6132 0.3868 0.8551
Nd 0.6151 0.3849 0.2760
Dy 0.0172 0.9828 0.7821
Dy 0.1254 0.8746 0.0604
Dy 0.2020 0.7980 0.7437
Dy 0.2245 0.7755 0.3618
Dy 0.4838 0.5162 0.0577
Dy 0.5162 0.4838 0.5577
Dy 0.7755 0.2245 0.8618
Dy 0.7980 0.2020 0.2437
Dy 0.8746 0.1254 0.5604
Dy 0.9828 0.0172 0.2821
Sc 0.3042 0.6958 0.0553
Sc 0.6958 0.3042 0.5553

Values from the calculation:
spin magnetization	0.00	μB per cell
N(E_F)	12.66	states/eV/f.u.
SG	No. 36
energy of formation from the pure elements	155	meV/atom

=====

A plane-wave DFT calculation with PBE-GGA was carried out for a geometry-optimized Tb2NdDySc structure.

a = 6.9894 Å, b = 6.9894 Å, c = 7.1044 Å
α = 90.00°, β = 90.00°, γ = 107.98°
Element x y z (fractional)
Tb 0.1977 0.1977 0.0000
Tb 0.1977 0.1977 0.5000
Tb 0.8023 0.8023 0.0000
Tb 0.8023 0.8023 0.5000
Nd 0.2294 0.7706 0.7500
Nd 0.7706 0.2294 0.2500
Dy 0.2359 0.7641 0.2500
Dy 0.7641 0.2359 0.7500
Sc 0.4935 0.5065 0.7500
Sc 0.5065 0.4935 0.2500

Values from the calculation:
spin magnetization	0.00	μB per cell
N(E_F)	6.39	states/eV/f.u.
SG	No. 63
energy of formation from the pure elements	334	meV/atom

=====

A plane-wave DFT calculation with PBE-GGA was carried out for a geometry-optimized TbNdDy5Sc2 structure.

a = 11.0856 Å, b = 11.0856 Å, c = 9.3533 Å
α = 90.00°, β = 90.00°, γ = 150.78°
Element x y z (fractional)
Tb 0.1882 0.8118 0.5000
Tb 0.8118 0.1882 0.0000
Nd 0.4024 0.5976 0.1035
Nd 0.5976 0.4024 0.6035
Dy 0.0081 0.9919 0.4988
Dy 0.2654 0.7346 0.1857
Dy 0.3069 0.6931 0.7987
Dy 0.3907 0.6093 0.4767
Dy 0.4686 0.5314 0.7709
Dy 0.5314 0.4686 0.2709
Dy 0.6093 0.3907 0.9767
Dy 0.6931 0.3069 0.2987
Dy 0.7346 0.2654 0.6857
Dy 0.9919 0.0081 0.9988
Sc 0.1134 0.8866 0.1948
Sc 0.1420 0.8580 0.8241
Sc 0.8580 0.1420 0.3241
Sc 0.8866 0.1134 0.6948

Values from the calculation:
spin magnetization	0.00	μB per cell
N(E_F)	13.31	states/eV/f.u.
SG	No. 36
energy of formation from the pure elements	169	meV/atom

=====

A plane-wave DFT calculation with PBE-GGA was carried out for a geometry-optimized TbNd5Dy2Sc structure.

a = 11.2897 Å, b = 11.2897 Å, c = 10.2532 Å
α = 90.00°, β = 90.00°, γ = 152.41°
Element x y z (fractional)
Tb 0.1015 0.8985 0.5000
Tb 0.8985 0.1015 0.0000
Nd 0.0002 0.9998 0.2498
Nd 0.9998 0.0002 0.7498
Nd 0.1267 0.8733 0.0001
Nd 0.2210 0.7790 0.6885
Nd 0.2216 0.7784 0.3129
Nd 0.4991 0.5009 0.4999
Nd 0.5009 0.4991 0.9999
Nd 0.7784 0.2216 0.8129
Nd 0.7790 0.2210 0.1885
Nd 0.8733 0.1267 0.5001
Dy 0.3845 0.6155 0.2482
Dy 0.3840 0.6160 0.7517
Dy 0.6160 0.3840 0.2517
Dy 0.6155 0.3845 0.7482
Sc 0.2865 0.7135 0.0006
Sc 0.7135 0.2865 0.5006

Values from the calculation:
spin magnetization	0.00	μB per cell
N(E_F)	13.20	states/eV/f.u.
SG	No. 36
energy of formation from the pure elements	125	meV/atom

=====

A plane-wave DFT calculation with PBE-GGA was carried out for a geometry-optimized Tb5NdDy2Sc structure.

a = 10.2763 Å, b = 10.2763 Å, c = 10.4083 Å
α = 90.00°, β = 90.00°, γ = 148.46°
Element x y z (fractional)
Tb 0.0185 0.9815 0.5000
Tb 0.2769 0.7231 0.8027
Tb 0.2979 0.7021 0.1864
Tb 0.3758 0.6242 0.5012
Tb 0.4814 0.5186 0.2207
Tb 0.5186 0.4814 0.7207
Tb 0.6242 0.3758 0.0012
Tb 0.7021 0.2979 0.6864
Tb 0.7231 0.2769 0.3027
Tb 0.9815 0.0185 0.0000
Nd 0.4127 0.5873 0.9358
Nd 0.5873 0.4127 0.4358
Dy 0.1119 0.8881 0.7954
Dy 0.1139 0.8861 0.2163
Dy 0.8861 0.1139 0.7163
Dy 0.8881 0.1119 0.2954
Sc 0.1958 0.8042 0.4957
Sc 0.8042 0.1958 0.9957

Values from the calculation:
spin magnetization	0.00	μB per cell
N(E_F)	14.24	states/eV/f.u.
SG	No. 36
energy of formation from the pure elements	168	meV/atom

=====

A plane-wave DFT calculation with PBE-GGA was carried out for a geometry-optimized TbNdDySc structure.

a = 5.5872 Å, b = 5.5872 Å, c = 5.5872 Å
α = 60.00°, β = 60.00°, γ = 60.00°
Element x y z (fractional)
Tb 0.0000 0.0000 0.0000
Nd 0.2500 0.2500 0.2500
Dy 0.7500 0.7500 0.7500
Sc 0.5000 0.5000 0.5000

Values from the calculation:
spin magnetization	0.00	μB per cell
E above lowest polymorph	29	meV/atom
N(E_F)	7.27	states/eV/f.u.
SG	No. 216
energy of formation from the pure elements	125	meV/atom

=====

A plane-wave DFT calculation with PBE-GGA was carried out for a geometry-optimized TbNdDy2Sc2 structure.

a = 6.2879 Å, b = 17.4923 Å, c = 3.3468 Å
α = 90.00°, β = 90.00°, γ = 90.00°
Element x y z (fractional)
Tb 0.0000 0.0000 0.0000
Tb 0.5000 0.5000 0.5000
Nd 0.0000 0.5000 0.0000
Nd 0.5000 0.0000 0.5000
Dy 0.2188 0.3075 0.0000
Dy 0.2812 0.8075 0.5000
Dy 0.7188 0.1925 0.5000
Dy 0.7812 0.6925 0.0000
Sc 0.2160 0.1458 0.5000
Sc 0.2840 0.6458 0.0000
Sc 0.7160 0.3542 0.0000
Sc 0.7840 0.8542 0.5000

Values from the calculation:
spin magnetization	0.00	μB per cell
N(E_F)	10.33	states/eV/f.u.
SG	No. 58
energy of formation from the pure elements	278	meV/atom

=====

A plane-wave DFT calculation with PBE-GGA was carried out for a geometry-optimized Nd2Dy3ScTe6 structure.

a = 9.7894 Å, b = 9.7894 Å, c = 8.7920 Å
α = 102.52°, β = 102.52°, γ = 25.66°
Element x y z (fractional)
Nd 0.1700 0.1700 0.3351
Nd 0.8300 0.8300 0.6649
Dy 0.1764 0.1764 0.8379
Dy 0.5000 0.5000 0.5000
Dy 0.8236 0.8236 0.1621
Sc 0.5000 0.5000 0.0000
Te 0.0050 0.0050 0.7614
Te 0.3381 0.3381 0.4102
Te 0.3418 0.3418 0.9294
Te 0.6582 0.6582 0.0706
Te 0.6619 0.6619 0.5898
Te 0.9950 0.9950 0.2386

Values from the calculation:
energy relative to the elements, uncorrected	-1.291	eV/atom
spin magnetization	0.00	μB per cell
N(E_F)	7.27	states/eV/f.u.
SG	No. 12

=====

A plane-wave DFT calculation with PBE-GGA was carried out for a geometry-optimized NdDy3Sc2Te6 structure.

a = 9.6439 Å, b = 9.6439 Å, c = 8.6759 Å
α = 102.28°, β = 102.28°, γ = 25.78°
Element x y z (fractional)
Nd 0.0000 0.0000 0.0000
Dy 0.0000 0.0000 0.5000
Dy 0.3426 0.3426 0.1676
Dy 0.6574 0.6574 0.8324
Sc 0.3366 0.3366 0.6695
Sc 0.6634 0.6634 0.3305
Te 0.1713 0.1713 0.5780
Te 0.1738 0.1738 0.0971
Te 0.4932 0.4932 0.7386
Te 0.5068 0.5068 0.2614
Te 0.8262 0.8262 0.9029
Te 0.8287 0.8287 0.4220

Values from the calculation:
energy relative to the elements, uncorrected	-1.234	eV/atom
spin magnetization	0.00	μB per cell
N(E_F)	7.72	states/eV/f.u.
SG	No. 12

=====

A plane-wave DFT calculation with PBE-GGA was carried out for a geometry-optimized Nd2DyScTe4 structure.

a = 7.5276 Å, b = 4.3200 Å, c = 7.7354 Å
α = 90.00°, β = 108.73°, γ = 90.00°
Element x y z (fractional)
Nd 0.0000 0.0000 0.0000
Nd 0.5000 0.5000 0.0000
Dy 0.0000 0.5000 0.5000
Sc 0.5000 0.0000 0.5000
Te 0.2511 0.0000 0.7332
Te 0.2640 0.5000 0.2717
Te 0.7360 0.5000 0.7283
Te 0.7489 0.0000 0.2668

Values from the calculation:
energy relative to the elements, uncorrected	-1.301	eV/atom
spin magnetization	0.00	μB per cell
N(E_F)	4.86	states/eV/f.u.
SG	No. 10

=====

A plane-wave DFT calculation with PBE-GGA was carried out for a geometry-optimized Nd3Dy2ScTe6 structure.

a = 9.8734 Å, b = 9.8734 Å, c = 8.8883 Å
α = 104.14°, β = 104.14°, γ = 25.47°
Element x y z (fractional)
Nd 0.0000 0.0000 0.0000
Nd 0.3290 0.3290 0.6631
Nd 0.6710 0.6710 0.3369
Dy 0.3334 0.3334 0.1668
Dy 0.6666 0.6666 0.8332
Sc 0.0000 0.0000 0.5000
Te 0.1582 0.1582 0.5873
Te 0.1692 0.1692 0.0770
Te 0.4993 0.4993 0.2671
Te 0.5007 0.5007 0.7329
Te 0.8308 0.8308 0.9230
Te 0.8418 0.8418 0.4127

Values from the calculation:
energy relative to the elements, uncorrected	-1.320	eV/atom
spin magnetization	0.00	μB per cell
N(E_F)	6.49	states/eV/f.u.
SG	No. 12

=====

A plane-wave DFT calculation with PBE-GGA was carried out for a geometry-optimized Nd3Dy6Th2Sc structure.

a = 6.1568 Å, b = 6.1568 Å, c = 11.7973 Å
α = 95.00°, β = 95.00°, γ = 119.98°
Element x y z (fractional)
Nd 0.0000 0.0000 0.0000
Nd 0.3334 0.6666 0.0000
Nd 0.6666 0.3334 0.0000
Dy 0.0862 0.4194 0.2567
Dy 0.2469 0.2469 0.7436
Dy 0.4194 0.0862 0.2567
Dy 0.5806 0.9138 0.7433
Dy 0.7531 0.7531 0.2564
Dy 0.9138 0.5806 0.7433
Th 0.1664 0.8336 0.5000
Th 0.8336 0.1664 0.5000
Sc 0.5000 0.5000 0.5000

Values from the calculation:
spin magnetization	0.00	μB per cell
N(E_F)	16.72	states/eV/f.u.
SG	No. 12
energy of formation from the pure elements	25	meV/atom

=====

A plane-wave DFT calculation with PBE-GGA was carried out for a geometry-optimized NdDyThSc structure.

a = 5.5866 Å, b = 5.5866 Å, c = 5.5866 Å
α = 60.00°, β = 60.00°, γ = 60.00°
Element x y z (fractional)
Nd 0.0000 0.0000 0.0000
Dy 0.2500 0.2500 0.2500
Th 0.5000 0.5000 0.5000
Sc 0.7500 0.7500 0.7500

Values from the calculation:
spin magnetization	0.00	μB per cell
E above lowest polymorph	76	meV/atom
N(E_F)	7.24	states/eV/f.u.
SG	No. 216
energy of formation from the pure elements	116	meV/atom

=====

A plane-wave DFT calculation with PBE-GGA was carried out for a geometry-optimized NdDyThSc structure.

a = 11.4543 Å, b = 11.4543 Å, c = 11.4543 Å
α = 17.82°, β = 17.82°, γ = 17.82°
Element x y z (fractional)
Nd 0.0000 0.0000 0.0000
Dy 0.7559 0.7559 0.7559
Th 0.1721 0.1721 0.1721
Sc 0.5837 0.5837 0.5837

Values from the calculation:
spin magnetization	0.00	μB per cell
E above lowest polymorph	0	meV/atom
N(E_F)	6.24	states/eV/f.u.
SG	No. 160
energy of formation from the pure elements	40	meV/atom

=====

A plane-wave DFT calculation with PBE-GGA was carried out for a geometry-optimized Nd2Dy5ThSc structure.

a = 11.3160 Å, b = 11.3160 Å, c = 9.4800 Å
α = 90.00°, β = 90.00°, γ = 150.96°
Element x y z (fractional)
Nd 0.1151 0.8849 0.5000
Nd 0.1345 0.8655 0.8949
Nd 0.8655 0.1345 0.3949
Nd 0.8849 0.1151 0.0000
Dy 0.0114 0.9886 0.1945
Dy 0.2677 0.7323 0.5164
Dy 0.3038 0.6962 0.9034
Dy 0.3926 0.6074 0.2305
Dy 0.4728 0.5272 0.9337
Dy 0.5272 0.4728 0.4337
Dy 0.6074 0.3926 0.7305
Dy 0.6962 0.3038 0.4034
Dy 0.7323 0.2677 0.0164
Dy 0.9886 0.0114 0.6945
Th 0.3998 0.6002 0.6172
Th 0.6002 0.3998 0.1172
Sc 0.1943 0.8057 0.1985
Sc 0.8057 0.1943 0.6985

Values from the calculation:
spin magnetization	0.00	μB per cell
N(E_F)	12.77	states/eV/f.u.
SG	No. 36
energy of formation from the pure elements	172	meV/atom

=====

Which total energy belongs to each record? In order, -4.82; -5.01; -5.43; -4.88; -4.66; -4.78; -4.68; -4.66; -4.84; -4.76; -4.66; -4.96; -4.93; -5.33; -5.41; -5.43; -5.38; -5.23; -5.66; -5.74; -4.97 eV/atom.